(1)
Below is crystalline AcSnAu3 at its relaxed geometry, with properties calculated at the PBE level.

Lattice parameters (Å, degrees): 4.981 4.981 10.124 90.00 90.00 90.00
Space group I4mm (No. 107)
Symmetry-distinct sites (fractional):
Ac 0.000 0.000 0.000 (multiplicity 2)
Sn 0.000 0.000 0.370 (multiplicity 2)
Au 0.000 0.000 0.630 (multiplicity 2)
Au 0.000 0.500 0.256 (multiplicity 4)

Values from the calculation:
distance to the lowest polymorph of the same formula = 22 meV per atom
energy = -4.1576 eV/atom

***

(2)
Below is crystalline CsRb2CdAs at its relaxed geometry, with properties calculated at the PBE level.

Lattice parameters (Å, degrees): 6.968 6.968 5.526 90.00 90.00 90.00
Space group P4/mmm (No. 123)
Symmetry-distinct sites (fractional):
Cs 0.000 0.000 0.000 (multiplicity 1)
Rb 0.000 0.500 0.500 (multiplicity 2)
Cd 0.500 0.500 0.000 (multiplicity 1)
As 0.500 0.500 0.500 (multiplicity 1)

Values from the calculation:
distance to the lowest polymorph of the same formula = 0 meV per atom
energy = -1.7627 eV/atom

***

(3)
Below is crystalline MgZr2SnC at its relaxed geometry, with properties calculated at the PBE level.

Lattice parameters (Å, degrees): 4.616 4.616 4.360 90.00 90.00 90.00
Space group P4/mmm (No. 123)
Symmetry-distinct sites (fractional):
Mg 0.000 0.000 0.000 (multiplicity 1)
Zr 0.000 0.500 0.500 (multiplicity 2)
Sn 0.500 0.500 0.000 (multiplicity 1)
C 0.000 0.000 0.500 (multiplicity 1)

Values from the calculation:
energy = -6.7711 eV/atom

***

(4)
Below is crystalline CuGeMo3 at its relaxed geometry, with properties calculated at the PBE level.

Lattice parameters (Å, degrees): 4.507 4.507 4.507 90.00 90.00 90.00
Space group Pm-3m (No. 221)
Symmetry-distinct sites (fractional):
Cu 0.000 0.000 0.000 (multiplicity 1)
Ge 0.500 0.500 0.500 (multiplicity 1)
Mo 0.000 0.000 0.500 (multiplicity 3)

Values from the calculation:
distance to the lowest polymorph of the same formula = 0 meV per atom
energy = -6.6909 eV/atom

***

(5)
Below is crystalline TbSmF at its relaxed geometry, with properties calculated at the PBE level.

Lattice parameters (Å, degrees): 3.7719 3.7719 5.6586 90.00 90.00 120.00
Space group P3m1 (No. 156)
Symmetry-distinct sites (fractional):
Tb 0.0000 0.0000 0.0000 (multiplicity 1)
Sm 0.3333 0.6667 0.5029 (multiplicity 1)
F 0.6667 0.3333 0.2409 (multiplicity 1)

Values from the calculation:
energy = -5.2862 eV/atom

***

(6)
Below is crystalline Tc2NiPb at its relaxed geometry, with properties calculated at the PBE level.

Lattice parameters (Å, degrees): 4.313 4.313 3.416 90.00 90.00 90.00
Space group P4/mmm (No. 123)
Symmetry-distinct sites (fractional):
Tc 0.000 0.500 0.000 (multiplicity 2)
Ni 0.000 0.000 0.500 (multiplicity 1)
Pb 0.500 0.500 0.500 (multiplicity 1)

Values from the calculation:
energy = -6.8873 eV/atom

***

(7)
Below is crystalline La2InNi2Pd5 at its relaxed geometry, with properties calculated at the PBE level.

Lattice parameters (Å, degrees): 9.475 9.475 4.072 90.00 90.00 90.00
Space group P4/mbm (No. 127)
Symmetry-distinct sites (fractional):
La 0.172 0.328 0.000 (multiplicity 4)
In 0.000 0.000 0.000 (multiplicity 2)
Ni 0.126 0.626 0.000 (multiplicity 4)
Pd 0.000 0.500 0.500 (multiplicity 2)
Pd 0.070 0.792 0.500 (multiplicity 8)

Values from the calculation:
energy = -5.6663 eV/atom

***

(8)
Below is crystalline Sr4Pu3NiN8 at its relaxed geometry, with properties calculated at the PBE level.

Lattice parameters (Å, degrees): 12.684 6.706 7.011 90.00 122.81 90.00
Space group C2/m (No. 12)
Symmetry-distinct sites (fractional):
Sr 0.000 0.000 0.000 (multiplicity 2)
Sr 0.000 0.500 0.000 (multiplicity 2)
Sr 0.250 0.250 0.000 (multiplicity 4)
Pu 0.000 0.000 0.500 (multiplicity 2)
Pu 0.250 0.250 0.500 (multiplicity 4)
Ni 0.000 0.500 0.500 (multiplicity 2)
N 0.016 0.253 0.312 (multiplicity 8)
N 0.229 0.000 0.278 (multiplicity 4)
N 0.239 0.000 0.705 (multiplicity 4)

Values from the calculation:
energy = -8.3780 eV/atom

***

(9)
Below is crystalline TbInRu at its relaxed geometry, with properties calculated at the PBE level.

Lattice parameters (Å, degrees): 4.722 4.722 6.395 90.00 90.00 90.00
Space group P4_2/mmc (No. 131)
Symmetry-distinct sites (fractional):
Tb 0.000 0.500 0.000 (multiplicity 2)
In 0.000 0.500 0.500 (multiplicity 2)
Ru 0.000 0.000 0.250 (multiplicity 2)

Values from the calculation:
energy = -5.7707 eV/atom

***

(10)
Below is crystalline Cs3LiIn2I9 at its relaxed geometry, with properties calculated at the PBE level.

Lattice parameters (Å, degrees): 8.5230 8.5230 10.4865 90.00 90.00 120.00
Space group P-3m1 (No. 164)
Symmetry-distinct sites (fractional):
Cs 0.0000 0.0000 0.0000 (multiplicity 1)
Cs 0.3333 0.6667 0.6619 (multiplicity 2)
Li 0.0000 0.0000 0.5000 (multiplicity 1)
In 0.3333 0.6667 0.1771 (multiplicity 2)
I 0.0000 0.5000 0.0000 (multiplicity 3)
I 0.1652 0.3304 0.3315 (multiplicity 6)

Values from the calculation:
energy = -2.5954 eV/atom

***

(11)
Below is crystalline AgRuO2 at its relaxed geometry, with properties calculated at the PBE level.

Lattice parameters (Å, degrees): 5.626 5.626 5.626 90.00 90.00 90.00
Space group Fm-3m (No. 225)
Symmetry-distinct sites (fractional):
Ag 0.000 0.000 0.000 (multiplicity 4)
Ru 0.000 0.000 0.500 (multiplicity 4)
O 0.250 0.250 0.250 (multiplicity 8)

Values from the calculation:
energy = -5.1192 eV/atom

***

(12)
Below is crystalline Al2TcPt at its relaxed geometry, with properties calculated at the PBE level.

Lattice parameters (Å, degrees): 4.550 2.798 5.093 90.00 114.06 90.00
Space group P2/m (No. 10)
Symmetry-distinct sites (fractional):
Al 0.000 0.000 0.000 (multiplicity 1)
Al 0.000 0.500 0.500 (multiplicity 1)
Tc 0.500 0.000 0.500 (multiplicity 1)
Pt 0.500 0.500 0.000 (multiplicity 1)

Values from the calculation:
energy = -6.4735 eV/atom

***

Question: The lowest energy belongs to which entry?
Answer: Sr4Pu3NiN8

***

Question: Look up the energy of the eleventh one.
Answer: -5.1192 eV/atom

***

Question: Which value of energy does entry 12 give?
Answer: -6.4735 eV/atom

***

Question: The lowest energy belongs to which entry?
Answer: Sr4Pu3NiN8